# Mg4Si3, relaxed, DFT PBE
# E_form (uncorrected) in eV/atom: -0.02
# Spin magnetization in μB/f.u.: 0.0
# Calculated total energy in eV/cell: -45.6
# Fermi-level density of states in states/eV/f.u.: 2.26
data_Mg4Si3
_symmetry_space_group_name_H-M 'P 1'
_symmetry_Int_Tables_number 1
_symmetry_space_group_name_Hall 'P 1'
_cell_length_a 6.1966
_cell_length_b 6.2509
_cell_length_c 8.3434
_cell_angle_alpha 72.00
_cell_angle_beta 71.74
_cell_angle_gamma 75.84
loop_
_atom_site_label
_atom_site_fract_x
_atom_site_fract_y
_atom_site_fract_z
_atom_site_occupancy
Mg1 0.1106 0.0939 0.3015 1
Mg2 0.2773 0.5042 0.4536 1
Mg3 0.2973 0.5528 0.8861 1
Mg4 0.3253 0.0978 0.7998 1
Mg5 0.6747 0.9022 0.2002 1
Mg6 0.7027 0.4472 0.1139 1
Mg7 0.7227 0.4958 0.5464 1
Mg8 0.8894 0.9061 0.6985 1
Si1 0.0286 0.5528 0.2260 1
Si2 0.3230 0.7856 0.1076 1
Si3 0.3650 0.8669 0.5531 1
Si4 0.6350 0.1331 0.4469 1
Si5 0.6770 0.2144 0.8924 1
Si6 0.9714 0.4472 0.7740 1